## Ag5Sn2S6 (PBE-GGA)

Data for Ag5Sn2S6 after structural relaxation.

## Properties
**Space group**: No. 15
**Electronic total energy**: -3.73 eV/atom
**Raw formation energy**: -10.6 kJ/mol of atoms
**Magnetic moment**: 0.00 μB/cell

a = 8.132 Å, b = 8.132 Å, c = 12.848 Å
α = 90.56°, β = 90.56°, γ = 46.61°
Sites, in units of the cell vectors:
S 0.207 0.300 0.394
S 0.793 0.700 0.606
S 0.915 0.921 0.374
S 0.300 0.207 0.894
S 0.387 0.433 0.133
S 0.700 0.793 0.106
S 0.613 0.567 0.867
S 0.567 0.613 0.367
S 0.921 0.915 0.874
S 0.079 0.085 0.126
S 0.085 0.079 0.626
S 0.433 0.387 0.633
Ag 0.725 0.260 0.002
Ag 0.808 0.981 0.678
Ag 0.981 0.808 0.178
Ag 0.284 0.716 0.750
Ag 0.260 0.725 0.502
Ag 0.192 0.019 0.322
Ag 0.275 0.740 0.998
Ag 0.740 0.275 0.498
Ag 0.716 0.284 0.250
Ag 0.019 0.192 0.822
Sn 0.188 0.308 0.591
Sn 0.692 0.812 0.909
Sn 0.308 0.188 0.091
Sn 0.812 0.692 0.409



## AgSn3S4 (PBE-GGA)

Data for AgSn3S4 after structural relaxation.

## Properties
**Space group**: No. 44
**Electronic total energy**: -4.24 eV/atom
**Excess energy over the best structure of this formula in the dataset**: 0 meV/atom
**Raw formation energy**: -30.5 kJ/mol of atoms
**Magnetic moment**: 0.00 μB/cell

a = 5.672 Å, b = 5.672 Å, c = 11.341 Å
α = 90.00°, β = 90.00°, γ = 90.00°
Sites, in units of the cell vectors:
Sn 0.564 0.750 0.000
Sn 0.564 0.250 0.750
Sn 0.564 0.250 0.250
Sn 0.064 0.750 0.750
Sn 0.064 0.750 0.250
Sn 0.064 0.250 0.500
S 0.065 0.750 0.000
S 0.065 0.250 0.249
S 0.065 0.250 0.751
S 0.565 0.250 0.500
S 0.064 0.750 0.500
S 0.564 0.250 0.000
S 0.565 0.750 0.749
S 0.565 0.750 0.251
Ag 0.563 0.750 0.500
Ag 0.063 0.250 0.000



## SrAgSnS3 (PBE-GGA)

Data for SrAgSnS3 after structural relaxation.

## Properties
**Space group**: No. 11
**Electronic total energy**: -4.27 eV/atom
**Raw formation energy**: -75.9 kJ/mol of atoms
**Magnetic moment**: 0.00 μB/cell

a = 4.040 Å, b = 8.249 Å, c = 8.915 Å
α = 103.42°, β = 90.00°, γ = 90.00°
Sites, in units of the cell vectors:
S 0.750 0.252 0.513
S 0.750 0.436 0.150
S 0.250 0.748 0.487
S 0.750 0.898 0.115
S 0.250 0.102 0.885
S 0.250 0.564 0.850
Ag 0.250 0.088 0.593
Ag 0.750 0.912 0.407
Sn 0.750 0.325 0.845
Sn 0.250 0.675 0.155
Sr 0.250 0.200 0.246
Sr 0.750 0.800 0.754



## TbAg2SnS4 (PBE-GGA)

Data for TbAg2SnS4 after structural relaxation.

## Properties
**Space group**: No. 10
**Electronic total energy**: -4.61 eV/atom
**Raw formation energy**: -73.0 kJ/mol of atoms
**Magnetic moment**: 0.00 μB/cell

a = 3.976 Å, b = 6.932 Å, c = 6.610 Å
α = 110.43°, β = 90.00°, γ = 90.00°
Sites, in units of the cell vectors:
Sn 0.000 0.000 0.000
Ag 0.000 0.500 0.500
Ag 0.500 0.000 0.500
Tb 0.500 0.500 0.000
S 0.000 0.751 0.243
S 0.500 0.749 0.750
S 0.000 0.249 0.757
S 0.500 0.251 0.250



## TbAgSn2S4 (PBE-GGA)

Data for TbAgSn2S4 after structural relaxation.

## Properties
**Space group**: No. 10
**Electronic total energy**: -4.80 eV/atom
**Raw formation energy**: -76.8 kJ/mol of atoms
**Magnetic moment**: 0.00 μB/cell

a = 4.041 Å, b = 7.162 Å, c = 6.878 Å
α = 70.68°, β = 90.00°, γ = 90.00°
Sites, in units of the cell vectors:
Sn 0.500 0.000 0.500
Sn 0.000 0.000 0.000
S 0.500 0.264 0.736
S 0.000 0.736 0.749
S 0.500 0.736 0.264
S 0.000 0.264 0.251
Ag 0.500 0.500 0.000
Tb 0.000 0.500 0.500



## Tb3Ag3SnS8 (PBE-GGA)

Data for Tb3Ag3SnS8 after structural relaxation.

## Properties
**Space group**: No. 12
**Electronic total energy**: -5.05 eV/atom
**Raw formation energy**: -104.5 kJ/mol of atoms
**Magnetic moment**: 0.00 μB/cell

a = 7.960 Å, b = 7.956 Å, c = 7.809 Å
α = 120.84°, β = 90.00°, γ = 120.02°
Sites, in units of the cell vectors:
S 0.765 0.999 0.265
S 0.745 0.490 0.734
S 0.235 0.001 0.735
S 0.766 0.001 0.735
S 0.234 0.999 0.265
S 0.235 0.470 0.734
S 0.765 0.530 0.266
S 0.255 0.510 0.266
Ag 0.000 0.000 0.000
Ag 0.000 0.500 0.000
Ag 0.500 0.500 0.000
Tb 0.500 0.000 0.500
Tb 0.500 0.500 0.500
Tb 0.000 0.500 0.500
Sn 0.000 0.000 0.500